No. 1
A relaxed structure of EuErInAg, computed with PBE.

Lattice parameters (Å, degrees): 5.335 5.335 5.335 60.00 60.00 60.00
Fractional coordinates of all 4 atoms:
Eu  0.000  0.000  0.000
Er  0.500  0.500  0.500
In  0.250  0.250  0.250
Ag  0.750  0.750  0.750

Properties
The calculation puts the total energy at -5.452 eV per atom. The volume comes out at 107.4 Å³/cell.

=====

No. 2
A relaxed structure of LiEuErAg, computed with PBE.

Lattice parameters (Å, degrees): 5.268 5.268 5.268 60.00 60.00 60.00
Fractional coordinates of all 4 atoms:
Li  0.000  0.000  0.000
Eu  0.750  0.750  0.750
Er  0.250  0.250  0.250
Ag  0.500  0.500  0.500

Properties
The calculation puts the total energy at -4.968 eV per atom. The volume comes out at 103.4 Å³/cell.